# AsPSeO2

A PBEsol-optimized structure of AsPSeO2 (meta-GGA SCAN, the Alexandria database).

Summary:
Uncorrected formation energy = -0.204 eV per atom
Raw total energy = -12.83 eV per atom

Lattice parameters (Å, degrees): 3.592 3.592 5.541 90.00 90.00 90.00
Space group P4/mmm (No. 123)
Asymmetric unit:
1 As 0.000 0.000 0.000 (multiplicity 1)
2 P 0.000 0.000 0.500 (multiplicity 1)
3 Se 0.500 0.500 0.500 (multiplicity 1)
4 O 0.000 0.500 0.000 (multiplicity 2)